1.
{
  "formula": "YHgTe2",
  "functional": "PBE",
  "state": "relaxed",
  "lattice": [[7.4370, -2.1579, 0.0000], [7.4370, 2.1579, 0.0000], [-6.0997, 0.0000, 7.9421]],
  "species": ["Y", "Y", "Hg", "Hg", "Te", "Te", "Te", "Te"],
  "frac_coords": [[0.0000, 0.0000, 0.0000], [0.6238, 0.6238, 0.6451], [0.3880, 0.3880, 0.2919], [0.7505, 0.7505, 0.4193], [0.0996, 0.0996, 0.3864], [0.3158, 0.3158, 0.8824], [0.6713, 0.6713, 0.0759], [0.9841, 0.9841, 0.6757]],
  "e_tot_ev_per_atom": -4.114,
  "e_above_lowest_polymorph_mev_per_atom": 46,
  "raw_formation_energy_ev_per_atom": -0.852,
  "dos_at_fermi_per_ev_cell": 0.00,
  "spacegroup": "Cm"
}

2.
{
  "formula": "YHgTe2",
  "functional": "PBE",
  "state": "relaxed",
  "lattice": [[-3.8648, 3.8648, 3.9637], [3.8648, -3.8648, 3.9637], [3.8648, 3.8648, -3.9637]],
  "species": ["Y", "Y", "Hg", "Hg", "Te", "Te", "Te", "Te"],
  "frac_coords": [[0.2500, 0.7500, 0.5000], [0.7500, 0.2500, 0.5000], [0.2500, 0.2500, 0.0000], [0.7500, 0.7500, 0.0000], [0.2126, 0.7126, 0.9252], [0.2874, 0.2126, 0.5000], [0.7126, 0.7874, 0.5000], [0.7874, 0.2874, 0.0748]],
  "e_tot_ev_per_atom": -3.901,
  "e_above_lowest_polymorph_mev_per_atom": 259,
  "raw_formation_energy_ev_per_atom": -0.639,
  "dos_at_fermi_per_ev_cell": 4.75,
  "spacegroup": "I4/mcm"
}

3.
{
  "formula": "YHgTe2",
  "functional": "PBE",
  "state": "relaxed",
  "lattice": [[0.0000, 3.8312, 3.8312], [3.8312, 0.0000, 3.8312], [3.8312, 3.8312, 0.0000]],
  "species": ["Y", "Hg", "Te", "Te"],
  "frac_coords": [[0.0000, 0.0000, 0.0000], [0.7500, 0.7500, 0.7500], [0.2500, 0.2500, 0.2500], [0.5000, 0.5000, 0.5000]],
  "e_tot_ev_per_atom": -3.667,
  "e_above_lowest_polymorph_mev_per_atom": 493,
  "raw_formation_energy_ev_per_atom": -0.405,
  "dos_at_fermi_per_ev_cell": 2.37,
  "spacegroup": "F-43m"
}

4.
{
  "formula": "YHgTe2",
  "functional": "PBE",
  "state": "relaxed",
  "lattice": [[8.3677, 0.0000, 0.0000], [0.0000, 4.2599, 0.0000], [0.0000, 0.0000, 13.4440]],
  "species": ["Y", "Y", "Y", "Y", "Hg", "Hg", "Hg", "Hg", "Te", "Te", "Te", "Te", "Te", "Te", "Te", "Te"],
  "frac_coords": [[0.1623, 0.2500, 0.1543], [0.3377, 0.7500, 0.6543], [0.6623, 0.2500, 0.3457], [0.8377, 0.7500, 0.8457], [0.0967, 0.7500, 0.4574], [0.4033, 0.2500, 0.9574], [0.5967, 0.7500, 0.0426], [0.9033, 0.2500, 0.5426], [0.0692, 0.2500, 0.7360], [0.1508, 0.7500, 0.9817], [0.3492, 0.2500, 0.4817], [0.4308, 0.7500, 0.2360], [0.5692, 0.2500, 0.7640], [0.6508, 0.7500, 0.5183], [0.8492, 0.2500, 0.0183], [0.9308, 0.7500, 0.2640]],
  "e_tot_ev_per_atom": -4.055,
  "e_above_lowest_polymorph_mev_per_atom": 105,
  "raw_formation_energy_ev_per_atom": -0.793,
  "dos_at_fermi_per_ev_cell": 4.80,
  "spacegroup": "Pnma"
}